The following is a DFT calculation (PBE-GGA) of an optimized crystal structure of Pu3HfTl3S8.

a b c (Å): 7.9692 7.9692 22.6377
angles (deg): 90.00 90.00 120.00
Space group R-3m (No. 166, hexagonal axes)
Asymmetric unit:
1 Pu 0.0000 0.5000 0.0000 [9 per cell]
2 Hf 0.0000 0.0000 0.0000 [3 per cell]
3 Tl 0.0000 0.5000 0.5000 [9 per cell]
4 S 0.0000 0.0000 0.2683 [6 per cell]
5 S 0.0212 0.5106 0.7297 [18 per cell]

The total magnetic moment is 15.0 μB/f.u.

***

The following is a DFT calculation (PBE-GGA) of an optimized crystal structure of Pu2HfTl3S6.

a b c (Å): 6.899 11.917 7.858
angles (deg): 90.00 106.90 90.00
Space group C2/m (No. 12)
Asymmetric unit:
1 Pu 0.000 0.166 0.000 [4 per cell]
2 Hf 0.000 0.500 0.000 [2 per cell]
3 Tl 0.000 0.000 0.500 [2 per cell]
4 Tl 0.000 0.329 0.500 [4 per cell]
5 S 0.219 0.344 0.191 [8 per cell]
6 S 0.245 0.500 0.803 [4 per cell]

The total magnetic moment is 11.0 μB/f.u.

***

The following is a DFT calculation (PBE-GGA) of an optimized crystal structure of TmPu2HfS4.

a b c (Å): 6.575 3.829 6.727
angles (deg): 90.00 109.42 90.00
Space group P2/m (No. 10)
Asymmetric unit:
1 Tm 0.000 0.000 0.000 [1 per cell]
2 Pu 0.500 0.000 0.500 [1 per cell]
3 Pu 0.500 0.500 0.000 [1 per cell]
4 Hf 0.000 0.500 0.500 [1 per cell]
5 S 0.233 0.000 0.739 [2 per cell]
6 S 0.237 0.500 0.253 [2 per cell]

The total magnetic moment is 0.1 μB/f.u.

***

The following is a DFT calculation (PBE-GGA) of an optimized crystal structure of YPu2HfS4.

a b c (Å): 6.662 3.835 6.711
angles (deg): 90.00 109.15 90.00
Space group P2/m (No. 10)
Asymmetric unit:
1 Y 0.000 0.000 0.000 [1 per cell]
2 Pu 0.000 0.500 0.500 [1 per cell]
3 Pu 0.500 0.000 0.500 [1 per cell]
4 Hf 0.500 0.500 0.000 [1 per cell]
5 S 0.257 0.500 0.241 [2 per cell]
6 S 0.265 0.000 0.765 [2 per cell]

The total magnetic moment is 11.3 μB/f.u.

***

It is found that the formation energy (no corrections) values, taken in the order of the records, are -1.29; -1.19; -1.69; -1.71 eV/atom.